Entry from Alexandria: a relaxed structure of Al2Tc2Bi (PBE-GGA).

Structure (POSCAR):
```
Al2Tc2Bi
1.0
-0.235 -7.300 0.094
4.570 -0.074 5.697
-2.507 0.107 2.012
Al Tc Bi
4 4 2
Cartesian
3.911 -2.803 5.021
2.650 -6.434 3.642
0.424 -4.570 0.770
1.685 -0.939 2.149
-0.584 -2.413 1.971
0.087 -6.076 3.001
2.412 -4.853 5.833
1.741 -1.191 4.803
0.000 0.000 0.000
2.167 -3.687 2.896
```

- DFT total energy (eV/atom) = -6.2264
- formation energy from the elements (kcal/mol of atoms) = 4.46
- energy above the lowest structure with this stoichiometry (meV per atom) = 94
- size of the total moment (μB/cell) = 1.81

---

Entry from Alexandria: a relaxed structure of NaLaSm2Tl4 (PBE-GGA).

Structure (POSCAR):
```
NaLaSm2Tl4
1.0
5.446 0.000 0.000
2.723 4.717 0.000
2.723 1.572 9.184
Na Tl Sm La
1 4 2 1
Cartesian
5.446 3.145 4.592
5.446 3.145 1.196
8.170 4.717 3.475
5.446 3.145 7.988
2.723 1.572 5.709
8.170 4.717 6.729
2.723 1.572 2.455
0.000 0.000 0.000
```

- DFT total energy (eV/atom) = -3.4676
- formation energy from the elements (kcal/mol of atoms) = -7.47
- size of the total moment (μB/cell) = 0.00

---

Entry from Alexandria: a relaxed structure of ZrAs (PBE-GGA).

Structure (POSCAR):
```
ZrAs
1.0
-1.720 3.304 -0.864
-0.463 -1.547 3.467
5.327 3.349 2.205
As Zr
2 2
Cartesian
2.694 4.199 2.233
0.450 0.907 2.574
2.663 1.674 1.103
0.000 0.000 0.000
```

- DFT total energy (eV/atom) = -7.6844
- formation energy from the elements (kcal/mol of atoms) = -25.03
- size of the total moment (μB/cell) = 0.00

---

Entry from Alexandria: a relaxed structure of CsP2SBr (PBE-GGA).

Structure (POSCAR):
```
CsP2SBr
1.0
7.473 0.000 0.000
0.000 7.473 0.000
0.000 0.000 5.656
Cs P S Br
1 2 1 1
Cartesian
0.000 0.000 0.000
3.737 0.000 0.000
0.000 3.737 0.000
0.000 0.000 2.828
3.737 3.737 2.828
```

- DFT total energy (eV/atom) = -1.9149
- energy relative to the elements, uncorrected (meV/atom) = 1579.8
- energy above the lowest structure with this stoichiometry (meV per atom) = 752
- size of the total moment (μB/cell) = 4.99